(1)
Computed, not measured: an optimized crystal structure of Ba7SrTl4 at the PBE level of DFT. Values from VASP.

Summary:
- energy relative to the elements (eV per formula unit) = -3.2
- calculated volume (Å³/atom) = 46.6
- space group = P-1, No. 2
- magnetic moment (μB per atom) = 0.000

```
&SYSTEM
  ibrav = 0, nat = 12, ntyp = 3
/
ATOMIC_SPECIES
Ba 137.33 Ba.upf
Sr 87.62 Sr.upf
Tl 204.38 Tl.upf
ATOMIC_POSITIONS angstrom
Ba 0.000 0.000 0.000
Ba 0.003 3.967 1.303
Ba -0.001 5.511 5.733
Ba 0.003 7.849 2.433
Ba 3.064 0.442 7.652
Ba 3.069 2.780 4.352
Ba 3.065 4.324 8.782
Sr -0.004 -0.372 5.042
Tl -0.008 2.394 7.394
Tl -0.008 6.265 9.130
Tl 3.076 2.027 0.955
Tl 3.076 5.897 2.691
CELL_PARAMETERS angstrom
6.141 0.000 0.000
-3.066 9.034 0.000
-0.008 -0.743 10.085
```

(2)
Computed, not measured: an optimized crystal structure of Ba6Sr3Tl at the PBE level of DFT. Values from VASP.

Summary:
- energy relative to the elements (eV per formula unit) = 0.2
- calculated volume (Å³/atom) = 57.1
- space group = P2_1/c, No. 14
- magnetic moment (μB per atom) = 0.000

```
&SYSTEM
  ibrav = 0, nat = 20, ntyp = 3
/
ATOMIC_SPECIES
Ba 137.33 Ba.upf
Sr 87.62 Sr.upf
Tl 204.38 Tl.upf
ATOMIC_POSITIONS angstrom
Ba -1.906 1.123 3.483
Ba -5.844 4.380 9.982
Ba -6.886 7.246 12.967
Ba -2.948 9.263 6.469
Ba -4.439 1.973 12.964
Ba -0.501 3.530 6.465
Ba 0.613 7.476 6.532
Ba 4.551 9.034 0.034
Ba 3.060 1.743 6.529
Ba 6.998 3.760 0.030
Ba 5.956 6.626 3.015
Ba 2.017 9.884 9.514
Sr 0.000 0.000 0.000
Sr -3.938 5.503 6.499
Sr -1.798 1.045 9.494
Sr 2.141 4.458 2.995
Sr -2.029 6.549 10.003
Sr 1.910 9.961 3.504
Tl 0.056 0.000 6.499
Tl 3.994 5.503 0.000
CELL_PARAMETERS angstrom
7.989 0.000 0.000
0.000 11.006 0.000
-7.877 0.000 12.997
```

(3)
Computed, not measured: an optimized crystal structure of BaSr2Tl at the PBE level of DFT. Values from VASP.

Summary:
- energy relative to the elements (eV per formula unit) = -0.3
- distance to the lowest polymorph of the same formula (eV/f.u.) = 0.55
- calculated volume (Å³/atom) = 42.8
- space group = I4/mmm, No. 139
- magnetic moment (μB per atom) = 0.002

```
&SYSTEM
  ibrav = 0, nat = 8, ntyp = 3
/
ATOMIC_SPECIES
Ba 137.33 Ba.upf
Sr 87.62 Sr.upf
Tl 204.38 Tl.upf
ATOMIC_POSITIONS angstrom
Ba 0.000 0.000 0.000
Ba 2.877 2.877 5.167
Sr 0.000 2.877 2.583
Sr 0.000 2.877 7.750
Sr 2.877 0.000 2.583
Sr 2.877 0.000 7.750
Tl 0.000 0.000 5.167
Tl 2.877 2.877 0.000
CELL_PARAMETERS angstrom
5.753 0.000 0.000
0.000 5.753 0.000
0.000 0.000 10.334
```

(4)
Computed, not measured: an optimized crystal structure of BaSrTl at the PBE level of DFT. Values from VASP.

Summary:
- energy relative to the elements (eV per formula unit) = 0.3
- calculated volume (Å³/atom) = 44.0
- space group = F-43m, No. 216
- magnetic moment (μB per atom) = 0.000

```
&SYSTEM
  ibrav = 0, nat = 12, ntyp = 3
/
ATOMIC_SPECIES
Ba 137.33 Ba.upf
Sr 87.62 Sr.upf
Tl 204.38 Tl.upf
ATOMIC_POSITIONS angstrom
Ba 0.000 0.000 0.000
Ba 0.000 4.040 4.040
Ba 4.040 0.000 4.040
Ba 4.040 4.040 0.000
Sr 2.020 2.020 2.020
Sr 2.020 6.060 6.060
Sr 6.060 2.020 6.060
Sr 6.060 6.060 2.020
Tl 0.000 0.000 4.040
Tl 0.000 4.040 0.000
Tl 4.040 0.000 0.000
Tl 4.040 4.040 4.040
CELL_PARAMETERS angstrom
8.080 0.000 0.000
0.000 8.080 0.000
0.000 0.000 8.080
```

(5)
Computed, not measured: an optimized crystal structure of BaSr2Tl at the PBE level of DFT. Values from VASP.

Summary:
- energy relative to the elements (eV per formula unit) = -0.5
- distance to the lowest polymorph of the same formula (eV/f.u.) = 0.39
- calculated volume (Å³/atom) = 49.2
- space group = R3m, No. 160
- magnetic moment (μB per atom) = 0.000

```
&SYSTEM
  ibrav = 0, nat = 12, ntyp = 3
/
ATOMIC_SPECIES
Ba 137.33 Ba.upf
Sr 87.62 Sr.upf
Tl 204.38 Tl.upf
ATOMIC_POSITIONS angstrom
Ba 0.000 0.000 0.000
Ba 0.000 2.467 24.885
Ba 2.136 1.233 12.442
Sr 0.000 0.000 8.687
Sr 0.000 0.000 17.528
Sr 0.000 2.467 5.086
Sr 0.000 2.467 33.572
Sr 2.136 1.233 21.129
Sr 2.136 1.233 29.971
Tl 0.000 0.000 27.518
Tl 0.000 2.467 15.076
Tl 2.136 1.233 2.634
CELL_PARAMETERS angstrom
4.273 0.000 0.000
-2.136 3.700 0.000
0.000 0.000 37.327
```

(6)
Computed, not measured: an optimized crystal structure of Ba2SrTl2 at the PBE level of DFT. Values from VASP.

Summary:
- energy relative to the elements (eV per formula unit) = -0.3
- distance to the lowest polymorph of the same formula (eV/f.u.) = 1.33
- calculated volume (Å³/atom) = 47.7
- space group = I4/mmm, No. 139
- magnetic moment (μB per atom) = 0.000

```
&SYSTEM
  ibrav = 0, nat = 10, ntyp = 3
/
ATOMIC_SPECIES
Ba 137.33 Ba.upf
Sr 87.62 Sr.upf
Tl 204.38 Tl.upf
ATOMIC_POSITIONS angstrom
Ba 0.000 0.000 1.795
Ba 0.000 0.000 10.656
Ba 3.095 3.095 4.431
Ba 3.095 3.095 8.021
Sr 0.000 0.000 6.226
Sr 3.095 3.095 0.000
Tl 0.000 3.095 3.113
Tl 0.000 3.095 9.339
Tl 3.095 0.000 3.113
Tl 3.095 0.000 9.339
CELL_PARAMETERS angstrom
6.190 0.000 0.000
0.000 6.190 0.000
0.000 0.000 12.451
```